[1]
DFT (PBE) results for a geometry-optimized NaSi2Mo2 structure.

a = 7.8282 Å, b = 7.8282 Å, c = 2.6443 Å
α = 90.00°, β = 90.00°, γ = 90.00°
Space group P4/mbm (No. 127)
One atom of each set of equivalent atoms:
1 Na 0.0000 0.0000 0.0000 [2 per cell]
2 Si 0.1679 0.3321 0.5000 [4 per cell]
3 Mo 0.1260 0.6260 0.0000 [4 per cell]

Properties
Formation energy from raw total energies in eV/atom: 0.057
E above lowest polymorph in meV per atom: 59.4
Total magnetic moment in μB/cell: 0.00


[2]
DFT (PBE) results for a geometry-optimized NaSrSiMo2 structure.

a = 5.5237 Å, b = 5.5237 Å, c = 5.6246 Å
α = 90.00°, β = 90.00°, γ = 90.00°
Space group P4/mmm (No. 123)
One atom of each set of equivalent atoms:
1 Na 0.0000 0.0000 0.0000 [1 per cell]
2 Sr 0.5000 0.5000 0.5000 [1 per cell]
3 Si 0.5000 0.5000 0.0000 [1 per cell]
4 Mo 0.0000 0.5000 0.5000 [2 per cell]

Properties
Formation energy from raw total energies in eV/atom: 2.445
Total magnetic moment in μB/cell: 7.05


[3]
DFT (PBE) results for a geometry-optimized NaSiTeMo2 structure.

a = 4.9583 Å, b = 4.9583 Å, c = 4.9653 Å
α = 90.00°, β = 90.00°, γ = 90.00°
Space group P4/mmm (No. 123)
One atom of each set of equivalent atoms:
1 Na 0.0000 0.0000 0.0000 [1 per cell]
2 Si 0.5000 0.5000 0.5000 [1 per cell]
3 Te 0.0000 0.0000 0.5000 [1 per cell]
4 Mo 0.0000 0.5000 0.0000 [2 per cell]

Properties
Formation energy from raw total energies in eV/atom: 2.310
Total magnetic moment in μB/cell: 6.50


[4]
DFT (PBE) results for a geometry-optimized Na2SnMo structure.

a = 8.6475 Å, b = 8.6475 Å, c = 5.5989 Å
α = 90.00°, β = 90.00°, γ = 90.00°
Space group I-42d (No. 122)
One atom of each set of equivalent atoms:
1 Na 0.2502 0.2500 0.1250 [8 per cell]
2 Sn 0.0000 0.0000 0.0000 [4 per cell]
3 Mo 0.0000 0.0000 0.5000 [4 per cell]

Properties
ΔH_f (0 K) in eV per atom: 0.850
Total magnetic moment in μB/cell: 12.79


[5]
DFT (PBE) results for a geometry-optimized NaSnMo3 structure.

a = 5.0087 Å, b = 5.0087 Å, c = 5.0087 Å
α = 90.00°, β = 90.00°, γ = 90.00°
Space group Pm-3m (No. 221)
One atom of each set of equivalent atoms:
1 Na 0.0000 0.0000 0.0000 [1 per cell]
2 Sn 0.5000 0.5000 0.5000 [1 per cell]
3 Mo 0.0000 0.5000 0.5000 [3 per cell]

Properties
ΔH_f (0 K) in eV per atom: 2.169
E above lowest polymorph in meV per atom: 0.0
Total magnetic moment in μB/cell: 0.00


[6]
DFT (PBE) results for a geometry-optimized NaSnMo structure.

a = 3.2696 Å, b = 3.2696 Å, c = 13.0435 Å
α = 90.00°, β = 90.00°, γ = 90.00°
Space group P4/nmm (No. 129, origin choice 2)
One atom of each set of equivalent atoms:
1 Na 0.2500 0.2500 0.1211 [2 per cell]
2 Sn 0.2500 0.2500 0.6935 [2 per cell]
3 Mo 0.2500 0.2500 0.4493 [2 per cell]

Properties
ΔH_f (0 K) in eV per atom: -0.007
E above lowest polymorph in meV per atom: 0.0
Total magnetic moment in μB/cell: 0.00


[7]
DFT (PBE) results for a geometry-optimized NaSnMo structure.

a = 3.7310 Å, b = 3.8918 Å, c = 18.6457 Å
α = 90.00°, β = 90.00°, γ = 90.00°
Space group Immm (No. 71)
One atom of each set of equivalent atoms:
1 Na 0.0000 0.0000 0.1949 [4 per cell]
2 Sn 0.0000 0.0000 0.3840 [4 per cell]
3 Mo 0.0000 0.5000 0.0000 [2 per cell]
4 Mo 0.0000 0.5000 0.5000 [2 per cell]

Properties
ΔH_f (0 K) in eV per atom: 0.165
E above lowest polymorph in meV per atom: 171.5
Total magnetic moment in μB/cell: 0.00


[8]
DFT (PBE) results for a geometry-optimized NaSnMo structure.

a = 9.5525 Å, b = 3.3182 Å, c = 8.8687 Å
α = 90.00°, β = 110.50°, γ = 90.00°
Space group C2/m (No. 12)
One atom of each set of equivalent atoms:
1 Na 0.1591 0.0000 0.0989 [4 per cell]
2 Sn 0.0059 0.5000 0.7067 [4 per cell]
3 Mo 0.1827 0.0000 0.5568 [4 per cell]

Properties
ΔH_f (0 K) in eV per atom: 0.117
E above lowest polymorph in meV per atom: 123.4
Total magnetic moment in μB/cell: 0.00


[9]
DFT (PBE) results for a geometry-optimized NaSnMo3 structure.

a = 4.5950 Å, b = 4.5950 Å, c = 4.5950 Å
α = 90.00°, β = 90.00°, γ = 90.00°
Space group Pm-3m (No. 221)
One atom of each set of equivalent atoms:
1 Na 0.0000 0.0000 0.0000 [1 per cell]
2 Sn 0.5000 0.5000 0.5000 [1 per cell]
3 Mo 0.0000 0.0000 0.5000 [3 per cell]

Properties
ΔH_f (0 K) in eV per atom: 2.310
E above lowest polymorph in meV per atom: 140.6
Total magnetic moment in μB/cell: 2.84


[10]
DFT (PBE) results for a geometry-optimized NaSnMo structure.

a = 5.1786 Å, b = 3.4153 Å, c = 15.1187 Å
α = 90.00°, β = 93.00°, γ = 90.00°
Space group C2/m (No. 12)
One atom of each set of equivalent atoms:
1 Na 0.2183 0.0000 0.1039 [4 per cell]
2 Sn 0.1300 0.0000 0.7159 [4 per cell]
3 Mo 0.2388 0.0000 0.4370 [4 per cell]

Properties
ΔH_f (0 K) in eV per atom: 0.157
E above lowest polymorph in meV per atom: 163.7
Total magnetic moment in μB/cell: 0.00


[11]
DFT (PBE) results for a geometry-optimized NaSnTeMo2 structure.

a = 5.1344 Å, b = 5.1344 Å, c = 5.9025 Å
α = 90.00°, β = 90.00°, γ = 90.00°
Space group P4/mmm (No. 123)
One atom of each set of equivalent atoms:
1 Na 0.0000 0.0000 0.0000 [1 per cell]
2 Sn 0.5000 0.5000 0.0000 [1 per cell]
3 Te 0.5000 0.5000 0.5000 [1 per cell]
4 Mo 0.0000 0.5000 0.5000 [2 per cell]

Properties
Formation energy from raw total energies in eV/atom: 1.407
Total magnetic moment in μB/cell: 5.04


[12]
DFT (PBE) results for a geometry-optimized NaTiSn2Mo structure.

a = 5.3539 Å, b = 5.3539 Å, c = 4.6832 Å
α = 90.00°, β = 90.00°, γ = 90.00°
Space group P4/mmm (No. 123)
One atom of each set of equivalent atoms:
1 Na 0.0000 0.0000 0.0000 [1 per cell]
2 Ti 0.5000 0.5000 0.5000 [1 per cell]
3 Sn 0.0000 0.5000 0.5000 [2 per cell]
4 Mo 0.5000 0.5000 0.0000 [1 per cell]

Properties
ΔH_f (0 K) in eV per atom: 0.585
Total magnetic moment in μB/cell: 1.95


[13]
DFT (PBE) results for a geometry-optimized NaVSn2Mo structure.

a = 5.2102 Å, b = 5.2102 Å, c = 4.5932 Å
α = 90.00°, β = 90.00°, γ = 90.00°
Space group P4/mmm (No. 123)
One atom of each set of equivalent atoms:
1 Na 0.0000 0.0000 0.0000 [1 per cell]
2 V 0.5000 0.5000 0.5000 [1 per cell]
3 Sn 0.0000 0.5000 0.5000 [2 per cell]
4 Mo 0.5000 0.5000 0.0000 [1 per cell]

Properties
ΔH_f (0 K) in eV per atom: 0.587
Total magnetic moment in μB/cell: 1.82


[14]
DFT (PBE) results for a geometry-optimized NaSr3Mo structure.

a = 5.9520 Å, b = 5.9520 Å, c = 5.9520 Å
α = 90.00°, β = 90.00°, γ = 90.00°
Space group Pm-3m (No. 221)
One atom of each set of equivalent atoms:
1 Na 0.0000 0.0000 0.0000 [1 per cell]
2 Sr 0.0000 0.5000 0.5000 [3 per cell]
3 Mo 0.5000 0.5000 0.5000 [1 per cell]

Properties
ΔH_f (0 K) in eV per atom: 0.718
E above lowest polymorph in meV per atom: 0.0
Total magnetic moment in μB/cell: 0.44


[15]
DFT (PBE) results for a geometry-optimized NaSrMo2 structure.

a = 8.5812 Å, b = 8.5812 Å, c = 5.0503 Å
α = 90.00°, β = 90.00°, γ = 90.00°
Space group I-42d (No. 122)
One atom of each set of equivalent atoms:
1 Na 0.0000 0.0000 0.0000 [4 per cell]
2 Sr 0.0000 0.0000 0.5000 [4 per cell]
3 Mo 0.2166 0.7500 0.1250 [8 per cell]

Properties
ΔH_f (0 K) in eV per atom: 1.624
E above lowest polymorph in meV per atom: 0.0
Total magnetic moment in μB/cell: 3.83


[16]
DFT (PBE) results for a geometry-optimized NaSr2Mo structure.

a = 9.0592 Å, b = 9.0592 Å, c = 7.2975 Å
α = 90.00°, β = 90.00°, γ = 90.00°
Space group I-42d (No. 122)
One atom of each set of equivalent atoms:
1 Na 0.0000 0.0000 0.0000 [4 per cell]
2 Sr 0.2287 0.7500 0.6250 [8 per cell]
3 Mo 0.0000 0.0000 0.5000 [4 per cell]

Properties
ΔH_f (0 K) in eV per atom: 1.036
E above lowest polymorph in meV per atom: 249.1
Total magnetic moment in μB/cell: 14.95


[17]
DFT (PBE) results for a geometry-optimized NaSr2Mo structure.

a = 8.2038 Å, b = 8.2038 Å, c = 8.2038 Å
α = 90.00°, β = 90.00°, γ = 90.00°
Space group Fm-3m (No. 225)
One atom of each set of equivalent atoms:
1 Na 0.0000 0.0000 0.0000 [4 per cell]
2 Sr 0.2500 0.2500 0.2500 [8 per cell]
3 Mo 0.0000 0.0000 0.5000 [4 per cell]

Properties
ΔH_f (0 K) in eV per atom: 0.787
E above lowest polymorph in meV per atom: 0.0
Total magnetic moment in μB/cell: 12.79


[18]
DFT (PBE) results for a geometry-optimized NaSrMo2 structure.

a = 7.0310 Å, b = 7.0310 Å, c = 7.0310 Å
α = 90.00°, β = 90.00°, γ = 90.00°
Space group Fm-3m (No. 225)
One atom of each set of equivalent atoms:
1 Na 0.0000 0.0000 0.0000 [4 per cell]
2 Sr 0.0000 0.0000 0.5000 [4 per cell]
3 Mo 0.2500 0.2500 0.2500 [8 per cell]

Properties
ΔH_f (0 K) in eV per atom: 1.893
E above lowest polymorph in meV per atom: 268.7
Total magnetic moment in μB/cell: 0.01


[19]
DFT (PBE) results for a geometry-optimized NaSrMo3 structure.

a = 4.8854 Å, b = 4.8854 Å, c = 4.8854 Å
α = 90.00°, β = 90.00°, γ = 90.00°
Space group Pm-3m (No. 221)
One atom of each set of equivalent atoms:
1 Na 0.0000 0.0000 0.0000 [1 per cell]
2 Sr 0.5000 0.5000 0.5000 [1 per cell]
3 Mo 0.0000 0.0000 0.5000 [3 per cell]

Properties
ΔH_f (0 K) in eV per atom: 2.464
E above lowest polymorph in meV per atom: 0.0
Total magnetic moment in μB/cell: 4.83


[20]
DFT (PBE) results for a geometry-optimized NaSr3Mo structure.

a = 6.2788 Å, b = 6.2788 Å, c = 6.2788 Å
α = 90.00°, β = 90.00°, γ = 90.00°
Space group Pm-3m (No. 221)
One atom of each set of equivalent atoms:
1 Na 0.0000 0.0000 0.0000 [1 per cell]
2 Sr 0.0000 0.0000 0.5000 [3 per cell]
3 Mo 0.5000 0.5000 0.5000 [1 per cell]

Properties
ΔH_f (0 K) in eV per atom: 1.221
E above lowest polymorph in meV per atom: 503.2
Total magnetic moment in μB/cell: 4.67